No. 1
The following is a PBE-GGA calculation of CsCaMg2Ir after structural relaxation, from the Alexandria database.

POSCAR file:
```
CsCaMg2Ir
1.0
5.363 0.000 0.000
0.000 5.363 0.000
0.000 0.000 5.506
Cs Mg Ir Ca
1 2 1 1
Direct
0.500 0.500 0.500
0.500 0.000 0.000
0.000 0.500 0.000
0.000 0.000 0.000
0.000 0.000 0.500
```

Values from the calculation:
Crystal system: tetragonal
Calculated formation energy (eV per atom): -0.026

No. 2
The following is a PBE-GGA calculation of HoTmCu3 after structural relaxation, from the Alexandria database.

POSCAR file:
```
HoTmCu3
1.0
4.286 0.000 0.000
0.000 3.525 0.000
0.000 -1.762 12.699
Cu Tm Ho
6 2 2
Direct
0.750 0.327 0.655
0.750 0.618 0.237
0.750 0.523 0.046
0.250 0.382 0.763
0.250 0.477 0.954
0.250 0.673 0.345
0.750 0.205 0.410
0.250 0.795 0.590
0.250 0.072 0.144
0.750 0.928 0.856
```

Values from the calculation:
Crystal system: orthorhombic
Calculated formation energy (eV per atom): -0.263

No. 3
The following is a PBE-GGA calculation of SrAl2WS after structural relaxation, from the Alexandria database.

POSCAR file:
```
SrAl2WS
1.0
5.063 0.000 0.000
0.000 4.488 0.000
0.000 0.000 5.063
S Sr Al W
1 1 2 1
Direct
0.000 0.000 0.000
0.500 0.500 0.500
0.500 0.000 0.000
0.000 0.000 0.500
0.000 0.500 0.000
```

Values from the calculation:
Crystal system: tetragonal
Formation energy (no corrections) (eV/atom): 0.52

Spin magnetization for every record listed, in sequence, given in μB/f.u.: 0.00, 0.00, 0.00.
Density of states at the Fermi level for every record listed, in sequence, given in states/eV per atom: 0.733, 0.666, 0.705.